# 1
Rb3SnHg3 after structural relaxation. Source: Alexandria via LeMat-Bulk, functional PBE-GGA.

POSCAR file:
```
Rb3SnHg3
1.0
6.723 -2.572 0.000
6.723 2.572 0.000
-5.808 0.000 17.037
Rb Sn Hg
6 2 6
direct
0.019 0.019 0.390
0.109 0.109 0.921
0.253 0.253 0.232
0.747 0.747 0.768
0.891 0.891 0.079
0.981 0.981 0.610
0.267 0.267 0.616
0.733 0.733 0.384
0.314 0.314 0.462
0.403 0.403 0.923
0.456 0.456 0.769
0.544 0.544 0.231
0.597 0.597 0.077
0.686 0.686 0.538
```

Output
Magnetic moment ... 0.00 μB per formula unit
ΔH_f (0 K) ... -0.211 eV/atom
Density ... 5.5 g cm⁻³

=====

# 2
Zn2TcOs after structural relaxation. Source: Alexandria via LeMat-Bulk, functional PBE-GGA.

POSCAR file:
```
Zn2TcOs
1.0
4.400 -1.393 0.000
4.400 1.393 0.000
-0.634 0.000 4.686
Zn Tc Os
2 1 1
direct
0.000 0.000 0.000
0.246 0.246 0.790
0.494 0.494 0.494
0.749 0.749 0.293
```

Output
Magnetic moment ... 0.00 μB per formula unit
ΔH_f (0 K) ... 0.151 eV/atom
Density ... 12.1 g cm⁻³
Energy above the most stable polymorph in this dataset ... 65 kJ/mol of formula units

=====

# 3
LaAuC after structural relaxation. Source: Alexandria via LeMat-Bulk, functional PBE-GGA.

POSCAR file:
```
LaAuC
1.0
8.425 0.000 0.000
0.000 4.046 0.000
0.000 0.000 6.921
La Au C
4 4 4
direct
0.008 0.250 0.225
0.492 0.750 0.725
0.508 0.250 0.275
0.992 0.750 0.775
0.234 0.250 0.586
0.266 0.750 0.086
0.734 0.250 0.914
0.766 0.750 0.414
0.162 0.250 0.897
0.338 0.750 0.397
0.662 0.250 0.603
0.838 0.750 0.103
```

Output
Magnetic moment ... 0.00 μB per formula unit
ΔH_f (0 K) ... 0.126 eV/atom
Density ... 9.8 g cm⁻³

=====

# 4
BaZn3Cr after structural relaxation. Source: Alexandria via LeMat-Bulk, functional PBE-GGA.

POSCAR file:
```
BaZn3Cr
1.0
5.018 0.000 0.000
0.000 5.018 0.000
0.000 0.000 5.018
Ba Zn Cr
1 3 1
direct
0.000 0.000 0.000
0.000 0.500 0.500
0.500 0.000 0.500
0.500 0.500 0.000
0.500 0.500 0.500
```

Output
Magnetic moment ... 3.62 μB per formula unit
ΔH_f (0 K) ... 0.162 eV/atom
Density ... 5.1 g cm⁻³
Energy above the most stable polymorph in this dataset ... 0 kJ/mol of formula units

=====

| no. | N(E_F) (states/eV per atom) | final energy (eV/cell) |
| --- | --- | --- |
| 1 | 0.477 | -18.58 |
| 2 | 0.757 | -23.54 |
| 3 | 0.046 | -68.20 |
| 4 | 0.790 | -14.56 |